[1]
# PrMgZn4 | the Alexandria database | PBE | relaxed
# Magnetic moment: 0.00 μB per cell
# DOS at the Fermi energy: 7.285 states/eV per cell
# Calculated total energy: -12.6 eV/f.u.
data_PrMgZn4
_chemical_formula_sum 'Pr2 Mg2 Zn8'
_symmetry_space_group_name_H-M 'P 1'
_symmetry_Int_Tables_number 1
_cell_length_a 8.962
_cell_length_b 8.962
_cell_length_c 6.566
_cell_angle_alpha 90.00
_cell_angle_beta 90.00
_cell_angle_gamma 152.50
loop_
_symmetry_equiv_pos_as_xyz
'x,y,z'
loop_
_atom_site_label
_atom_site_fract_x
_atom_site_fract_y
_atom_site_fract_z
Pr1 0.105 0.895 0.750
Pr2 0.895 0.105 0.250
Mg1 0.235 0.765 0.250
Mg2 0.765 0.235 0.750
Zn1 0.074 0.926 0.250
Zn2 0.347 0.653 0.557
Zn3 0.347 0.653 0.943
Zn4 0.500 0.500 0.000
Zn5 0.500 0.500 0.500
Zn6 0.653 0.347 0.057
Zn7 0.653 0.347 0.443
Zn8 0.926 0.074 0.750

---

[2]
# LiErBiPd | the Alexandria database | PBE | relaxed
# Magnetic moment: 0.00 μB per cell
# DOS at the Fermi energy: 1.788 states/eV per cell
# Calculated total energy: -17.9 eV/f.u.
data_LiErBiPd
_chemical_formula_sum 'Li1 Er1 Bi1 Pd1'
_symmetry_space_group_name_H-M 'P 1'
_symmetry_Int_Tables_number 1
_cell_length_a 4.978
_cell_length_b 4.978
_cell_length_c 4.978
_cell_angle_alpha 60.00
_cell_angle_beta 60.00
_cell_angle_gamma 60.00
loop_
_symmetry_equiv_pos_as_xyz
'x,y,z'
loop_
_atom_site_label
_atom_site_fract_x
_atom_site_fract_y
_atom_site_fract_z
Li1 0.000 0.000 0.000
Er1 0.500 0.500 0.500
Bi1 0.750 0.750 0.750
Pd1 0.250 0.250 0.250

---

[3]
# Ba2PuTi3O12 | the Alexandria database | PBE | relaxed
# Magnetic moment: 1.26 μB per cell
# DOS at the Fermi energy: 11.271 states/eV per cell
# E_form (uncorrected): -2638.5 meV/atom
# Calculated total energy: -148.9 eV/f.u.
data_Ba2PuTi3O12
_chemical_formula_sum 'Ba2 Pu1 Ti3 O12'
_symmetry_space_group_name_H-M 'P 1'
_symmetry_Int_Tables_number 1
_cell_length_a 7.455
_cell_length_b 7.455
_cell_length_c 7.455
_cell_angle_alpha 56.98
_cell_angle_beta 56.98
_cell_angle_gamma 56.98
loop_
_symmetry_equiv_pos_as_xyz
'x,y,z'
loop_
_atom_site_label
_atom_site_fract_x
_atom_site_fract_y
_atom_site_fract_z
Ba1 0.101 0.101 0.101
Ba2 0.899 0.899 0.899
Pu1 0.500 0.500 0.500
Ti1 0.000 0.500 0.500
Ti2 0.500 0.000 0.500
Ti3 0.500 0.500 0.000
O1 0.172 0.575 0.575
O2 0.179 0.179 0.579
O3 0.179 0.579 0.179
O4 0.421 0.821 0.821
O5 0.425 0.425 0.828
O6 0.425 0.828 0.425
O7 0.575 0.172 0.575
O8 0.575 0.575 0.172
O9 0.579 0.179 0.179
O10 0.821 0.421 0.821
O11 0.821 0.821 0.421
O12 0.828 0.425 0.425

---

[4]
# YMg4Pt5 | the Alexandria database | PBE | relaxed
# Magnetic moment: 0.00 μB per cell
# DOS at the Fermi energy: 3.016 states/eV per cell
# Calculated total energy: -52.1 eV/f.u.
data_YMg4Pt5
_chemical_formula_sum 'Y1 Mg4 Pt5'
_symmetry_space_group_name_H-M 'P 1'
_symmetry_Int_Tables_number 1
_cell_length_a 3.358
_cell_length_b 3.358
_cell_length_c 15.213
_cell_angle_alpha 90.00
_cell_angle_beta 90.00
_cell_angle_gamma 90.00
loop_
_symmetry_equiv_pos_as_xyz
'x,y,z'
loop_
_atom_site_label
_atom_site_fract_x
_atom_site_fract_y
_atom_site_fract_z
Y1 0.000 0.000 0.000
Mg1 0.000 0.000 0.213
Mg2 0.000 0.000 0.405
Mg3 0.000 0.000 0.595
Mg4 0.000 0.000 0.787
Pt1 0.500 0.500 0.114
Pt2 0.500 0.500 0.307
Pt3 0.500 0.500 0.500
Pt4 0.500 0.500 0.693
Pt5 0.500 0.500 0.886

---

[5]
# TaAsHBr2 | the Alexandria database | PBE | relaxed
# Magnetic moment: 0.40 μB per cell
# DOS at the Fermi energy: 3.351 states/eV per cell
# Calculated total energy: -19.0 eV/f.u.
# Polymorph energy (0 for the lowest one): 0.461 eV per atom
data_TaAsHBr2
_chemical_formula_sum 'Ta1 As1 H1 Br2'
_symmetry_space_group_name_H-M 'P 1'
_symmetry_Int_Tables_number 1
_cell_length_a 4.974
_cell_length_b 4.974
_cell_length_c 3.473
_cell_angle_alpha 90.00
_cell_angle_beta 90.00
_cell_angle_gamma 90.00
loop_
_symmetry_equiv_pos_as_xyz
'x,y,z'
loop_
_atom_site_label
_atom_site_fract_x
_atom_site_fract_y
_atom_site_fract_z
Ta1 0.000 0.000 0.000
As1 0.500 0.500 0.000
H1 0.500 0.500 0.500
Br1 0.000 0.500 0.500
Br2 0.500 0.000 0.500

---

[6]
# Y2In2H | the Alexandria database | PBE | relaxed
# Magnetic moment: 0.00 μB per cell
# DOS at the Fermi energy: 4.221 states/eV per cell
# Calculated total energy: -23.4 eV/f.u.
data_Y2In2H
_chemical_formula_sum 'Y4 In4 H2'
_symmetry_space_group_name_H-M 'P 1'
_symmetry_Int_Tables_number 1
_cell_length_a 6.731
_cell_length_b 6.731
_cell_length_c 5.265
_cell_angle_alpha 90.00
_cell_angle_beta 90.00
_cell_angle_gamma 90.00
loop_
_symmetry_equiv_pos_as_xyz
'x,y,z'
loop_
_atom_site_label
_atom_site_fract_x
_atom_site_fract_y
_atom_site_fract_z
Y1 0.168 0.332 0.000
Y2 0.332 0.832 0.000
Y3 0.668 0.168 0.000
Y4 0.832 0.668 0.000
In1 0.153 0.653 0.500
In2 0.347 0.153 0.500
In3 0.653 0.847 0.500
In4 0.847 0.347 0.500
H1 0.000 0.000 0.000
H2 0.500 0.500 0.000

---

[7]
# KLiCa | the Alexandria database | PBE | relaxed
# Magnetic moment: 0.00 μB per cell
# DOS at the Fermi energy: 2.423 states/eV per cell
# Calculated total energy: -4.6 eV/f.u.
# Polymorph energy (0 for the lowest one): 0.069 eV per atom
data_KLiCa
_chemical_formula_sum 'K1 Li1 Ca1'
_symmetry_space_group_name_H-M 'P 1'
_symmetry_Int_Tables_number 1
_cell_length_a 8.296
_cell_length_b 8.294
_cell_length_c 4.072
_cell_angle_alpha 75.82
_cell_angle_beta 75.76
_cell_angle_gamma 28.42
loop_
_symmetry_equiv_pos_as_xyz
'x,y,z'
loop_
_atom_site_label
_atom_site_fract_x
_atom_site_fract_y
_atom_site_fract_z
K1 0.000 0.000 0.000
Li1 0.335 0.335 0.665
Ca1 0.714 0.714 0.286

---

[8]
# BaCrCd2 | the Alexandria database | PBE | relaxed
# Magnetic moment: 4.24 μB per cell
# DOS at the Fermi energy: 2.265 states/eV per cell
# Calculated total energy: -12.3 eV/f.u.
data_BaCrCd2
_chemical_formula_sum 'Ba1 Cr1 Cd2'
_symmetry_space_group_name_H-M 'P 1'
_symmetry_Int_Tables_number 1
_cell_length_a 5.383
_cell_length_b 5.383
_cell_length_c 5.383
_cell_angle_alpha 119.62
_cell_angle_beta 119.62
_cell_angle_gamma 90.65
loop_
_symmetry_equiv_pos_as_xyz
'x,y,z'
loop_
_atom_site_label
_atom_site_fract_x
_atom_site_fract_y
_atom_site_fract_z
Ba1 0.000 0.000 0.000
Cr1 0.750 0.250 0.500
Cd1 0.250 0.750 0.500
Cd2 0.500 0.500 0.000

---

[9]
# CaZnCd11 | the Alexandria database | PBE | relaxed
# Magnetic moment: 0.00 μB per cell
# DOS at the Fermi energy: 4.155 states/eV per cell
# Calculated total energy: -14.4 eV/f.u.
data_CaZnCd11
_chemical_formula_sum 'Ca1 Zn1 Cd11'
_symmetry_space_group_name_H-M 'P 1'
_symmetry_Int_Tables_number 1
_cell_length_a 7.663
_cell_length_b 7.663
_cell_length_c 7.643
_cell_angle_alpha 98.35
_cell_angle_beta 98.35
_cell_angle_gamma 134.79
loop_
_symmetry_equiv_pos_as_xyz
'x,y,z'
loop_
_atom_site_label
_atom_site_fract_x
_atom_site_fract_y
_atom_site_fract_z
Ca1 0.000 0.000 0.000
Zn1 0.500 0.500 0.500
Cd1 0.000 0.000 0.500
Cd2 0.000 0.500 0.000
Cd3 0.009 0.355 0.355
Cd4 0.297 0.508 0.782
Cd5 0.355 0.009 0.355
Cd6 0.492 0.703 0.218
Cd7 0.500 0.000 0.000
Cd8 0.508 0.297 0.782
Cd9 0.645 0.991 0.645
Cd10 0.703 0.492 0.218
Cd11 0.991 0.645 0.645

---

[10]
# KPmRe2N6 | the Alexandria database | PBE | relaxed
# Magnetic moment: 0.00 μB per cell
# E_form (uncorrected): -364.4 meV/atom
# Calculated total energy: -84.3 eV/f.u.
data_KPmRe2N6
_chemical_formula_sum 'K2 Pm2 Re4 N12'
_symmetry_space_group_name_H-M 'P 1'
_symmetry_Int_Tables_number 1
_cell_length_a 7.776
_cell_length_b 7.776
_cell_length_c 6.381
_cell_angle_alpha 104.06
_cell_angle_beta 104.06
_cell_angle_gamma 85.48
loop_
_symmetry_equiv_pos_as_xyz
'x,y,z'
loop_
_atom_site_label
_atom_site_fract_x
_atom_site_fract_y
_atom_site_fract_z
K1 0.079 0.921 0.750
K2 0.921 0.079 0.250
Pm1 0.302 0.698 0.250
Pm2 0.698 0.302 0.750
Re1 0.205 0.380 0.796
Re2 0.380 0.205 0.296
Re3 0.620 0.795 0.704
Re4 0.795 0.620 0.204
N1 0.002 0.727 0.304
N2 0.165 0.610 0.855
N3 0.273 0.998 0.196
N4 0.324 0.353 0.083
N5 0.353 0.324 0.583
N6 0.390 0.835 0.645
N7 0.610 0.165 0.355
N8 0.647 0.676 0.417
N9 0.676 0.647 0.917
N10 0.727 0.002 0.804
N11 0.835 0.390 0.145
N12 0.998 0.273 0.696

---

[11]
# SrLiSe2 | the Alexandria database | PBE | relaxed
# Magnetic moment: 0.01 μB per cell
# DOS at the Fermi energy: 4.688 states/eV per cell
# E_form (uncorrected): -690.2 meV/atom
# Calculated total energy: -13.3 eV/f.u.
data_SrLiSe2
_chemical_formula_sum 'Sr1 Li1 Se2'
_symmetry_space_group_name_H-M 'P 1'
_symmetry_Int_Tables_number 1
_cell_length_a 5.162
_cell_length_b 5.162
_cell_length_c 5.162
_cell_angle_alpha 60.00
_cell_angle_beta 60.00
_cell_angle_gamma 60.00
loop_
_symmetry_equiv_pos_as_xyz
'x,y,z'
loop_
_atom_site_label
_atom_site_fract_x
_atom_site_fract_y
_atom_site_fract_z
Sr1 0.000 0.000 0.000
Li1 0.750 0.750 0.750
Se1 0.250 0.250 0.250
Se2 0.500 0.500 0.500

---

[12]
# LaCdOs2 | the Alexandria database | PBE | relaxed
# Magnetic moment: 0.00 μB per cell
# DOS at the Fermi energy: 3.491 states/eV per cell
# Calculated total energy: -27.3 eV/f.u.
data_LaCdOs2
_chemical_formula_sum 'La1 Cd1 Os2'
_symmetry_space_group_name_H-M 'P 1'
_symmetry_Int_Tables_number 1
_cell_length_a 5.769
_cell_length_b 5.769
_cell_length_c 5.769
_cell_angle_alpha 47.77
_cell_angle_beta 47.77
_cell_angle_gamma 47.77
loop_
_symmetry_equiv_pos_as_xyz
'x,y,z'
loop_
_atom_site_label
_atom_site_fract_x
_atom_site_fract_y
_atom_site_fract_z
La1 0.000 0.000 0.000
Cd1 0.500 0.500 0.500
Os1 0.177 0.177 0.177
Os2 0.823 0.823 0.823